An optimized crystal structure of ZnBPb2. Source: the Open Quantum Materials Database, functional PBE.

Lattice parameters (Å, degrees): 5.069 5.069 5.069 60.00 60.00 60.00
Positions (direct):
B  0.500  0.500  0.500
Pb  0.000  0.000  0.000
Pb  0.750  0.750  0.750
Zn  0.250  0.250  0.250

Computed properties:
Final energy, eV per atom: -2.766
Space-group type: F-43m

An optimized crystal structure of Zn2B2Pb3. Source: the Open Quantum Materials Database, functional PBE.

Lattice parameters (Å, degrees): 10.143 10.143 10.143 24.21 24.21 24.21
Positions (direct):
B  0.539  0.539  0.539
B  0.940  0.940  0.940
Pb  0.438  0.438  0.438
Pb  0.637  0.637  0.637
Pb  0.848  0.848  0.848
Zn  0.245  0.245  0.245
Zn  0.728  0.728  0.728

Computed properties:
Final energy, eV per atom: -2.926
Space-group type: R3m

An optimized crystal structure of ZnB2Pb. Source: the Open Quantum Materials Database, functional PBE.

Lattice parameters (Å, degrees): 4.482 4.482 4.482 60.00 60.00 60.00
Positions (direct):
B  0.000  0.000  0.000
B  0.750  0.750  0.750
Pb  0.500  0.500  0.500
Zn  0.250  0.250  0.250

Computed properties:
Final energy, eV per atom: -2.839
Space-group type: F-43m

An optimized crystal structure of ZnBPb. Source: the Open Quantum Materials Database, functional PBE.

Lattice parameters (Å, degrees): 4.470 4.470 4.470 60.00 60.00 60.00
Positions (direct):
B  0.250  0.250  0.250
Pb  0.000  0.000  0.000
Zn  0.750  0.750  0.750

Computed properties:
Final energy, eV per atom: -2.596
Space-group type: F-43m